5
Lattice="5.188 0.000 0.000 0.000 5.188 0.000 0.000 0.000 5.188" Properties=species:S:1:pos:R:3 comment="RbMn3F (GGA+U, optimized geometry)" sg="No. 221" e_tot_ev_per_fu=-23.79 vol_a3_per_atom=27.9 total_magnetization_mub_per_atom=3.01 pbc="T T T"
Rb 0.000 0.000 0.000
Mn 0.000 2.594 2.594
Mn 2.594 0.000 2.594
Mn 2.594 2.594 0.000
F 2.594 2.594 2.594

***

12
Lattice="2.170 -11.519 0.000 2.170 11.519 0.000 0.000 0.000 4.238" Properties=species:S:1:pos:R:3 comment="Rb3Mn2F7 (GGA+U, optimized geometry)" sg="No. 65" e_tot_ev_per_fu=-63.71 vol_a3_per_atom=17.7 total_magnetization_mub_per_atom=0.83 pbc="T T T"
Rb 0.000 0.000 0.000
Rb 2.170 7.310 0.000
Rb 2.170 -7.310 0.000
Mn 2.170 2.177 2.119
Mn 2.170 -2.177 2.119
F 2.170 9.365 2.119
F 2.170 4.299 2.119
F 2.170 2.159 0.000
F 2.170 0.000 2.119
F 2.170 -2.159 0.000
F 2.170 -4.299 2.119
F 2.170 -9.365 2.119

***

24
Lattice="8.427 0.000 0.000 -4.214 7.298 0.000 0.000 0.000 7.125" Properties=species:S:1:pos:R:3 comment="Rb3MnF8 (GGA+U, optimized geometry)" sg="No. 186" e_tot_ev_per_fu=-53.51 vol_a3_per_atom=18.3 total_magnetization_mub_per_atom=0.35 pbc="T T T"
Rb 0.000 2.342 0.000
Rb -2.185 6.127 0.000
Rb 2.028 1.171 3.562
Rb 2.185 6.127 0.000
Rb 6.399 1.171 3.562
Rb 4.214 4.956 3.562
Mn 0.000 4.865 3.130
Mn 4.214 2.433 6.693
F 0.000 0.000 1.827
F 0.000 0.000 5.389
F -1.307 4.111 2.063
F 0.000 3.304 4.148
F -1.352 5.646 4.148
F 0.000 4.865 6.307
F 1.307 4.111 2.063
F 0.000 6.375 2.063
F 2.861 1.652 0.586
F 1.352 5.646 4.148
F 4.214 0.923 5.626
F 2.906 3.187 5.626
F 4.214 2.433 2.744
F 5.566 1.652 0.586
F 4.214 3.994 0.586
F 5.521 3.187 5.626

***

12
Lattice="5.536 0.000 0.000 0.000 6.192 0.000 0.000 0.000 5.734" Properties=species:S:1:pos:R:3 comment="RbMnF4 (GGA+U, optimized geometry)" sg="No. 31" e_tot_ev_per_fu=-31.77 vol_a3_per_atom=16.4 total_magnetization_mub_per_atom=0.67 pbc="T T T"
Rb 0.000 0.056 0.000
Rb 2.768 6.136 2.867
Mn 0.000 3.093 2.901
Mn 2.768 3.099 0.034
F 0.000 1.307 2.438
F 0.000 4.878 3.367
F 1.383 2.640 4.337
F 1.385 3.552 1.470
F 2.768 1.314 0.500
F 2.768 4.885 5.305
F 4.153 2.640 4.337
F 4.151 3.552 1.470